(1)
Compound: Ba2Dy
Source: OQMD via LeMat-Bulk
Functional: PBE
Structure: relaxed

Summary:
Magnetic moment in μB/atom: 0.008
Energy above the lowest structure with this stoichiometry in eV/atom: 0.000
E in Ha/atom: -0.0948
SG: I4/mmm, No. 139

Cell lengths 4.237, 4.237, 16.320 Å; angles 90.00, 90.00, 90.00 degrees
Fractional positions:
Ba (0.000, 0.000, 0.152)
Ba (0.000, 0.000, 0.848)
Ba (0.500, 0.500, 0.348)
Ba (0.500, 0.500, 0.652)
Dy (0.000, 0.000, 0.500)
Dy (0.500, 0.500, 0.000)

(2)
Compound: BaDyGa
Source: OQMD via LeMat-Bulk
Functional: PBE
Structure: relaxed

Summary:
Magnetic moment in μB/atom: 0.001
Energy above the lowest structure with this stoichiometry in eV/atom: 0.000
E in Ha/atom: -0.1086
SG: F-43m, No. 216

Cell lengths 7.367, 7.367, 7.367 Å; angles 90.00, 90.00, 90.00 degrees
Fractional positions:
Ba (0.000, 0.000, 0.000)
Ba (0.000, 0.500, 0.500)
Ba (0.500, 0.000, 0.500)
Ba (0.500, 0.500, 0.000)
Dy (0.250, 0.250, 0.250)
Dy (0.250, 0.750, 0.750)
Dy (0.750, 0.250, 0.750)
Dy (0.750, 0.750, 0.250)
Ga (0.000, 0.000, 0.500)
Ga (0.000, 0.500, 0.000)
Ga (0.500, 0.000, 0.000)
Ga (0.500, 0.500, 0.500)

(3)
Compound: BaDyGa
Source: OQMD via LeMat-Bulk
Functional: PBE
Structure: relaxed

Summary:
Magnetic moment in μB/atom: 0.001
Energy above the lowest structure with this stoichiometry in eV/atom: 0.320
E in Ha/atom: -0.0968
SG: F-43m, No. 216

Cell lengths 7.466, 7.466, 7.466 Å; angles 90.00, 90.00, 90.00 degrees
Fractional positions:
Ba (0.000, 0.000, 0.000)
Ba (0.000, 0.500, 0.500)
Ba (0.500, 0.000, 0.500)
Ba (0.500, 0.500, 0.000)
Dy (0.250, 0.250, 0.750)
Dy (0.250, 0.750, 0.250)
Dy (0.750, 0.250, 0.250)
Dy (0.750, 0.750, 0.750)
Ga (0.250, 0.250, 0.250)
Ga (0.250, 0.750, 0.750)
Ga (0.750, 0.250, 0.750)
Ga (0.750, 0.750, 0.250)